Material: MgFe2O4
Method: DFT, PBE+U
State: relaxed

Structure (POSCAR):
```
MgFe2O4
1.0
2.9961 1.7298 4.8667
-2.9961 1.7298 4.8667
0.0000 -3.4596 4.8667
Mg Fe O
2 4 8
direct
0.0000 0.0000 0.0000 Mg
0.3824 0.3824 0.3824 Mg
0.3798 0.3798 0.8902 Fe
0.3798 0.8902 0.3798 Fe
0.7665 0.7665 0.7665 Fe
0.8902 0.3798 0.3798 Fe
0.1341 0.1341 0.1341 O
0.1393 0.1393 0.5933 O
0.1393 0.5933 0.1393 O
0.1637 0.6312 0.6312 O
0.5933 0.1393 0.1393 O
0.6312 0.1637 0.6312 O
0.6312 0.6312 0.1637 O
0.6362 0.6362 0.6362 O
```

Output
Space group: R3m (160)
M_tot: 14.00 Bohr magnetons per cell
Calculated volume: 10.81 A^3/atom
Energy above the lowest structure with this stoichiometry: 139 meV per atom